[1]
# RbNd3Y2Te6 (PBE-GGA, relaxed)
# DOS at the Fermi energy: 4.710 states/eV/f.u.
data_RbNd3Y2Te6
_chemical_formula_sum 'Rb2 Nd6 Y4 Te12'
_cell_length_a 19.752
_cell_length_b 4.468
_cell_length_c 9.225
_cell_angle_alpha 90.00
_cell_angle_beta 103.53
_cell_angle_gamma 90.00
_space_group_name_H-M_alt 'C 1 2/m 1'
_space_group_IT_number 12
_space_group_name_Hall '-C 2y'
loop_
_atom_site_label
_atom_site_type_symbol
_atom_site_fract_x
_atom_site_fract_y
_atom_site_fract_z
Rb1 Rb 0.000 0.000 0.000
Nd1 Nd 0.000 0.000 0.500
Nd2 Nd 0.157 0.500 0.815
Y1 Y 0.167 0.500 0.341
Te1 Te 0.007 0.500 0.268
Te2 Te 0.169 0.000 0.576
Te3 Te 0.177 0.000 0.093

[2]
## Rb4Nd3YTe8 (PBE-GGA)

Data for an optimized crystal structure of Rb4Nd3YTe8.

```
data_Rb4Nd3YTe8
_chemical_formula_sum 'Rb12 Nd9 Y3 Te24'
_cell_length_a 9.2417
_cell_length_b 9.2417
_cell_length_c 25.7072
_cell_angle_alpha 90.00
_cell_angle_beta 90.00
_cell_angle_gamma 120.00
_space_group_name_H-M_alt 'R -3 m'
_space_group_IT_number 166
_space_group_name_Hall '-R 3 2"'
loop_
_atom_site_label
_atom_site_type_symbol
_atom_site_fract_x
_atom_site_fract_y
_atom_site_fract_z
Rb1 Rb 0.0000 0.0000 0.0000
Rb2 Rb 0.0000 0.5000 0.0000
Nd1 Nd 0.0000 0.5000 0.5000
Y1 Y 0.0000 0.0000 0.5000
Te1 Te 0.0000 0.0000 0.2353
Te2 Te 0.0065 0.5032 0.2343
```

[3]
## Rb3Nd2YTe6 (PBE-GGA)

Data for an optimized crystal structure of Rb3Nd2YTe6.

```
data_Rb3Nd2YTe6
_chemical_formula_sum 'Rb6 Nd4 Y2 Te12'
_cell_length_a 7.986
_cell_length_b 13.833
_cell_length_c 8.971
_cell_angle_alpha 90.00
_cell_angle_beta 107.28
_cell_angle_gamma 90.00
_space_group_name_H-M_alt 'C 1 2/m 1'
_space_group_IT_number 12
_space_group_name_Hall '-C 2y'
loop_
_atom_site_label
_atom_site_type_symbol
_atom_site_fract_x
_atom_site_fract_y
_atom_site_fract_z
Rb1 Rb 0.000 0.000 0.000
Rb2 Rb 0.000 0.331 0.000
Nd1 Nd 0.000 0.166 0.500
Y1 Y 0.000 0.500 0.500
Te1 Te 0.231 0.337 0.703
Te2 Te 0.242 0.000 0.704
```

[4]
# Rb3Nd3YTe8 (PBE-GGA, relaxed)
# DOS at the Fermi energy: 8.668 states/eV/f.u.
data_Rb3Nd3YTe8
_chemical_formula_sum 'Rb9 Nd9 Y3 Te24'
_cell_length_a 9.0513
_cell_length_b 9.0513
_cell_length_c 26.5355
_cell_angle_alpha 90.00
_cell_angle_beta 90.00
_cell_angle_gamma 120.00
_space_group_name_H-M_alt 'R -3 m'
_space_group_IT_number 166
_space_group_name_Hall '-R 3 2"'
loop_
_atom_site_label
_atom_site_type_symbol
_atom_site_fract_x
_atom_site_fract_y
_atom_site_fract_z
Rb1 Rb 0.0000 0.5000 0.0000
Nd1 Nd 0.0000 0.5000 0.5000
Y1 Y 0.0000 0.0000 0.5000
Te1 Te 0.0000 0.0000 0.2355
Te2 Te 0.0059 0.5030 0.2338

[5]
# Rb2NdZn2Te4 (PBE-GGA, relaxed)
# DOS at the Fermi energy: 4.258 states/eV/f.u.
data_Rb2NdZn2Te4
_chemical_formula_sum 'Rb4 Nd2 Zn4 Te8'
_cell_length_a 16.727
_cell_length_b 4.752
_cell_length_c 8.594
_cell_angle_alpha 90.00
_cell_angle_beta 109.17
_cell_angle_gamma 90.00
_space_group_name_H-M_alt 'C 1 2/m 1'
_space_group_IT_number 12
_space_group_name_Hall '-C 2y'
loop_
_atom_site_label
_atom_site_type_symbol
_atom_site_fract_x
_atom_site_fract_y
_atom_site_fract_z
Rb1 Rb 0.132 0.000 0.063
Nd1 Nd 0.000 0.000 0.500
Zn1 Zn 0.174 0.500 0.495
Te1 Te 0.017 0.500 0.260
Te2 Te 0.203 0.000 0.668

[6]
## RbNdZnTe3 (PBE-GGA)

Data for an optimized crystal structure of RbNdZnTe3.

```
data_RbNdZnTe3
_chemical_formula_sum 'Rb2 Nd2 Zn2 Te6'
_cell_length_a 10.106
_cell_length_b 4.507
_cell_length_c 10.747
_cell_angle_alpha 90.00
_cell_angle_beta 108.84
_cell_angle_gamma 90.00
_space_group_name_H-M_alt 'P 1 21/m 1'
_space_group_IT_number 11
_space_group_name_Hall '-P 2yb'
loop_
_atom_site_label
_atom_site_type_symbol
_atom_site_fract_x
_atom_site_fract_y
_atom_site_fract_z
Rb1 Rb 0.213 0.250 0.243
Nd1 Nd 0.325 0.750 0.861
Zn1 Zn 0.083 0.250 0.610
Te1 Te 0.102 0.250 0.861
Te2 Te 0.197 0.750 0.536
Te3 Te 0.467 0.750 0.168
```

[7]
# Rb3Nd2ZrTe6 (PBE-GGA, relaxed)
# DOS at the Fermi energy: 5.478 states/eV/f.u.
data_Rb3Nd2ZrTe6
_chemical_formula_sum 'Rb6 Nd4 Zr2 Te12'
_cell_length_a 7.804
_cell_length_b 13.522
_cell_length_c 9.000
_cell_angle_alpha 90.00
_cell_angle_beta 106.89
_cell_angle_gamma 90.00
_space_group_name_H-M_alt 'C 1 2/m 1'
_space_group_IT_number 12
_space_group_name_Hall '-C 2y'
loop_
_atom_site_label
_atom_site_type_symbol
_atom_site_fract_x
_atom_site_fract_y
_atom_site_fract_z
Rb1 Rb 0.000 0.000 0.000
Rb2 Rb 0.000 0.328 0.000
Nd1 Nd 0.000 0.166 0.500
Zr1 Zr 0.000 0.500 0.500
Te1 Te 0.224 0.343 0.701
Te2 Te 0.246 0.500 0.297

[8]
# Rb4Nd3ZrTe8 (PBE-GGA, relaxed)
# DOS at the Fermi energy: 4.844 states/eV/f.u.
data_Rb4Nd3ZrTe8
_chemical_formula_sum 'Rb12 Nd9 Zr3 Te24'
_cell_length_a 9.0863
_cell_length_b 9.0863
_cell_length_c 25.8185
_cell_angle_alpha 90.00
_cell_angle_beta 90.00
_cell_angle_gamma 120.00
_space_group_name_H-M_alt 'R -3 m'
_space_group_IT_number 166
_space_group_name_Hall '-R 3 2"'
loop_
_atom_site_label
_atom_site_type_symbol
_atom_site_fract_x
_atom_site_fract_y
_atom_site_fract_z
Rb1 Rb 0.0000 0.0000 0.0000
Rb2 Rb 0.0000 0.5000 0.0000
Nd1 Nd 0.0000 0.5000 0.5000
Zr1 Zr 0.0000 0.0000 0.5000
Te1 Te 0.0000 0.0000 0.2364
Te2 Te 0.0182 0.5091 0.2334

The formation energy from raw total energies results, record by record, are as follows: -1.330, -1.405, -1.404, -1.326, -0.874, -1.073, -1.227, -1.270 eV/atom.
The uncorrected energy results, record by record, are as follows: -5.25, -4.52, -4.55, -4.58, -3.30, -3.81, -4.55, -4.51 eV/atom.